DFT (GGA-PBE) results for a relaxed Tm2MnPt5 crystal.

Lattice parameters (Å, degrees): 4.177 5.755 11.490 90.00 90.00 90.00
Site moments in Bohr magnetons follow the coordinates.
Fractional positions:
Tm: 0.500 0.712 0.136  0.00
Tm: 0.500 0.288 0.864  0.00
Tm: 0.500 0.788 0.636  0.00
Tm: 0.500 0.212 0.364  0.00
Mn: 0.000 0.500 0.500  3.86
Mn: 0.000 0.000 0.000  3.86
Pt: 0.000 0.000 0.500  0.12
Pt: 0.000 0.500 0.000  0.12
Pt: 0.000 0.968 0.245  0.10
Pt: 0.000 0.032 0.755  0.10
Pt: 0.000 0.532 0.745  0.10
Pt: 0.000 0.468 0.255  0.10
Pt: 0.500 0.716 0.387  0.12
Pt: 0.500 0.284 0.613  0.12
Pt: 0.500 0.784 0.887  0.12
Pt: 0.500 0.216 0.113  0.12

The calculation puts the magnetic moment at 9.3 μB per cell. Its volume is 138.1 Å³/f.u. Its crystal system is orthorhombic. The energy comes out at -7.043 eV per atom. The symmetry is Pbam (55).